First-principles (GGA-PBE) data for an optimized crystal structure of KCdOs2, as listed in Alexandria via LeMat-Bulk.

Output
The calculation puts the calculated formation energy at 1.072 eV per atom. The density of states at the Fermi level comes out at 2.97 states/eV/f.u. The calculated volume is 22.50 Å³ per atom.

Cell lengths 2.6706, 4.8461, 6.9546 Å; angles 90.00, 90.00, 90.00 degrees
Space group Pmmm (No. 47)
Symmetry-distinct sites (fractional):
K  0.0000  0.0000  0.0000 x1
Cd  0.0000  0.0000  0.5000 x1
Os  0.5000  0.5000  0.3325 x2